# Li3SiF8

An optimized crystal structure of Li3SiF8 (PBE, Alexandria).

Total magnetic moment   0.00 μB per atom
Total DFT energy (no corrections)   -4.588 eV per atom
Volume   9.48 Å³ per atom

abc: 4.845 4.845 4.845
angles: 90.00 90.00 90.00
Space group Pm-3m (No. 221)
One atom of each set of equivalent atoms:
Li: 0.000 0.000 0.500 (multiplicity 3)
Si: 0.500 0.500 0.500 (multiplicity 1)
F: 0.271 0.271 0.271 (multiplicity 8)



# LiSiF6

An optimized crystal structure of LiSiF6 (PBE, Alexandria).

Total magnetic moment   0.13 μB per atom
Distance to the lowest polymorph of the same formula   0 meV/atom
Volume   12.94 Å³ per atom

abc: 7.453 7.453 7.453
angles: 90.00 90.00 90.00
Space group Fm-3m (No. 225)
One atom of each set of equivalent atoms:
Li: 0.000 0.000 0.000 (multiplicity 4)
Si: 0.000 0.000 0.500 (multiplicity 4)
F: 0.000 0.000 0.272 (multiplicity 24)



# LiSi2F8

An optimized crystal structure of LiSi2F8 (PBE, Alexandria).

Total magnetic moment   0.02 μB per atom
Distance to the lowest polymorph of the same formula   18 meV/atom
Volume   14.61 Å³ per atom

abc: 10.598 5.893 5.185
angles: 90.00 96.96 90.00
Space group C2/m (No. 12)
One atom of each set of equivalent atoms:
Li: 0.000 0.000 0.000 (multiplicity 2)
Si: 0.194 0.000 0.642 (multiplicity 4)
F: 0.118 0.000 0.344 (multiplicity 4)
F: 0.129 0.206 0.789 (multiplicity 8)
F: 0.156 0.500 0.258 (multiplicity 4)



# LiSiF4

An optimized crystal structure of LiSiF4 (PBE, Alexandria).

Total magnetic moment   0.00 μB per atom
Total DFT energy (no corrections)   -4.987 eV per atom
Volume   17.69 Å³ per atom

abc: 5.508 5.508 6.996
angles: 90.00 90.00 90.00
Space group I-4 (No. 82)
One atom of each set of equivalent atoms:
Li: 0.000 0.000 0.000 (multiplicity 2)
Si: 0.000 0.500 0.750 (multiplicity 2)
F: 0.143 0.727 0.870 (multiplicity 8)



# Li2SiF

An optimized crystal structure of Li2SiF (PBE, Alexandria).

Total magnetic moment   0.35 μB per atom
Distance to the lowest polymorph of the same formula   761 meV/atom
Volume   15.31 Å³ per atom

abc: 6.258 6.258 6.258
angles: 90.00 90.00 90.00
Space group Fm-3m (No. 225)
One atom of each set of equivalent atoms:
Li: 0.250 0.250 0.250 (multiplicity 8)
Si: 0.000 0.000 0.000 (multiplicity 4)
F: 0.000 0.000 0.500 (multiplicity 4)



# LiSi3F

An optimized crystal structure of LiSi3F (PBE, Alexandria).

Total magnetic moment   0.00 μB per atom
Distance to the lowest polymorph of the same formula   0 meV/atom
Volume   17.12 Å³ per atom

abc: 4.407 4.407 4.407
angles: 90.00 90.00 90.00
Space group Pm-3m (No. 221)
One atom of each set of equivalent atoms:
Li: 0.000 0.000 0.000 (multiplicity 1)
Si: 0.000 0.500 0.500 (multiplicity 3)
F: 0.500 0.500 0.500 (multiplicity 1)



# LiSi2F8

An optimized crystal structure of LiSi2F8 (PBE, Alexandria).

Total magnetic moment   0.00 μB per atom
Distance to the lowest polymorph of the same formula   0 meV/atom
Volume   13.93 Å³ per atom

abc: 10.408 6.016 4.894
angles: 90.00 90.00 90.00
Space group C2/m (No. 12)
One atom of each set of equivalent atoms:
Li: 0.000 0.000 0.000 (multiplicity 2)
Si: 0.167 0.500 0.691 (multiplicity 4)
F: 0.092 0.275 0.787 (multiplicity 8)
F: 0.167 0.500 0.361 (multiplicity 4)
F: 0.183 0.000 0.213 (multiplicity 4)



# LiSiF6

An optimized crystal structure of LiSiF6 (PBE, Alexandria).

Total magnetic moment   0.13 μB per atom
Distance to the lowest polymorph of the same formula   43 meV/atom
Volume   12.63 Å³ per atom

abc: 4.791 9.111 4.737
angles: 90.00 102.14 90.00
Space group C2/m (No. 12)
One atom of each set of equivalent atoms:
Li: 0.000 0.000 0.000 (multiplicity 2)
Si: 0.000 0.500 0.500 (multiplicity 2)
F: 0.201 0.370 0.709 (multiplicity 8)
F: 0.234 0.500 0.273 (multiplicity 4)



# LiSi2F

An optimized crystal structure of LiSi2F (PBE, Alexandria).

Total magnetic moment   0.00 μB per atom
Distance to the lowest polymorph of the same formula   780 meV/atom
Volume   13.87 Å³ per atom

abc: 6.054 6.054 6.054
angles: 90.00 90.00 90.00
Space group Fm-3m (No. 225)
One atom of each set of equivalent atoms:
Li: 0.000 0.000 0.000 (multiplicity 4)
Si: 0.250 0.250 0.250 (multiplicity 8)
F: 0.000 0.000 0.500 (multiplicity 4)



# Sr2LiSiF

An optimized crystal structure of Sr2LiSiF (PBE, Alexandria).

Total magnetic moment   0.00 μB per atom
Total DFT energy (no corrections)   -3.786 eV per atom
Volume   22.82 Å³ per atom

abc: 5.150 5.150 4.302
angles: 90.00 90.00 90.00
Space group P4/mmm (No. 123)
One atom of each set of equivalent atoms:
Sr: 0.000 0.500 0.000 (multiplicity 2)
Li: 0.000 0.000 0.500 (multiplicity 1)
Si: 0.500 0.500 0.500 (multiplicity 1)
F: 0.000 0.000 0.000 (multiplicity 1)



# SrLi2SiF8

An optimized crystal structure of SrLi2SiF8 (PBE, Alexandria).

Total magnetic moment   0.00 μB per atom
Total DFT energy (no corrections)   -5.414 eV per atom
Volume   12.71 Å³ per atom

abc: 4.765 4.785 6.883
angles: 82.60 82.73 80.12
Space group P-1 (No. 2)
One atom of each set of equivalent atoms:
Sr: 0.000 0.000 0.000 (multiplicity 1)
Li: 0.451 0.450 0.226 (multiplicity 2)
Si: 0.000 0.000 0.500 (multiplicity 1)
F: 0.194 0.799 0.320 (multiplicity 2)
F: 0.198 0.804 0.682 (multiplicity 2)
F: 0.235 0.230 0.454 (multiplicity 2)
F: 0.330 0.325 0.994 (multiplicity 2)



# LiTl2SiF

An optimized crystal structure of LiTl2SiF (PBE, Alexandria).

Total magnetic moment   0.00 μB per atom
Total DFT energy (no corrections)   -2.843 eV per atom
Volume   23.65 Å³ per atom

abc: 5.189 5.189 4.392
angles: 90.00 90.00 90.00
Space group P4/mmm (No. 123)
One atom of each set of equivalent atoms:
Li: 0.000 0.000 0.000 (multiplicity 1)
Tl: 0.000 0.500 0.000 (multiplicity 2)
Si: 0.000 0.000 0.500 (multiplicity 1)
F: 0.500 0.500 0.500 (multiplicity 1)